No. 1
This record from Alexandria describes a relaxed NaSiAs crystal. The functional is PBE-GGA.

Lattice parameters (Å, degrees): 4.1311 15.2620 4.0049 90.00 90.00 90.00
Closest atoms and distances in Å follow each position.
Fractional coordinates of all 12 atoms:
Na (0.0000, 0.3163, 0.2500)  2 Si 3.05, 5 As 3.07-3.08
Na (0.0000, 0.6837, 0.7500)  2 Si 3.05, 5 As 3.07-3.08
Na (0.5000, 0.8163, 0.2500)  2 Si 3.05, 5 As 3.07-3.08
Na (0.5000, 0.1837, 0.7500)  2 Si 3.05, 5 As 3.07-3.08
Si (0.6655, 0.0000, 0.0000)  2 Si 2.42, 2 As 2.44
Si (0.3345, 0.0000, 0.5000)  2 Si 2.42, 2 As 2.44
Si (0.1655, 0.5000, 0.0000)  2 Si 2.42, 2 As 2.44
Si (0.8345, 0.5000, 0.5000)  2 Si 2.42, 2 As 2.44
As (0.0000, 0.1142, 0.2500)  2 Si 2.44
As (0.0000, 0.8858, 0.7500)  2 Si 2.44
As (0.5000, 0.6142, 0.2500)  2 Si 2.44
As (0.5000, 0.3858, 0.7500)  2 Si 2.44

Summary:
Energy relative to the elements, uncorrected: -0.182 eV per atom
Magnetization: 0.00 Bohr magnetons per cell
SG: No. 20


No. 2
This record from Alexandria describes a relaxed ScAs2Pt crystal. The functional is PBE-GGA.

Lattice parameters (Å, degrees): 4.3381 4.3381 9.0254 76.09 76.09 90.00
Closest atoms and distances in Å follow each position.
Fractional coordinates of all 8 atoms:
Sc (0.5000, 0.5000, 0.0000)  4 As 2.68
Sc (0.2500, 0.7500, 0.5000)  4 As 2.68
As (0.6557, 0.1250, 0.2500)  2 Pt 2.57, 2 Sc 2.68
As (0.0943, 0.6250, 0.2500)  2 Pt 2.57, 2 Sc 2.68
As (0.3750, 0.3443, 0.7500)  2 Pt 2.57, 2 Sc 2.68
As (0.8750, 0.9057, 0.7500)  2 Pt 2.57, 2 Sc 2.68
Pt (0.0000, 0.0000, 0.0000)  4 As 2.57
Pt (0.7500, 0.2500, 0.5000)  4 As 2.57

Summary:
Formation energy: -0.54 eV/atom
Relative energy among the computed polymorphs: 0.162 eV per atom
Magnetization: 0.00 Bohr magnetons per cell
SG: No. 122


No. 3
This record from Alexandria describes a relaxed TaTl2In2 crystal. The functional is PBE-GGA.

Lattice parameters (Å, degrees): 7.7255 7.7255 4.1907 90.00 90.00 90.00
Closest atoms and distances in Å follow each position.
Fractional coordinates of all 10 atoms:
Tl (0.3487, 0.8487, 0.0000)  2 Ta 2.94, 6 In 2.97-3.17
Tl (0.8487, 0.6513, 0.0000)  2 Ta 2.94, 6 In 2.97-3.17
Tl (0.6513, 0.1513, 0.0000)  2 Ta 2.94, 6 In 2.97-3.17
Tl (0.1513, 0.3487, 0.0000)  2 Ta 2.94, 6 In 2.97-3.17
In (0.1559, 0.6559, 0.5000)  6 Tl 2.97-3.17
In (0.6559, 0.8441, 0.5000)  6 Tl 2.97-3.17
In (0.8441, 0.3441, 0.5000)  6 Tl 2.97-3.17
In (0.3441, 0.1559, 0.5000)  6 Tl 2.97-3.17
Ta (0.0000, 0.0000, 0.0000)  4 Tl 2.94
Ta (0.5000, 0.5000, 0.0000)  4 Tl 2.94

Summary:
Formation energy: 0.71 eV/atom
Relative energy among the computed polymorphs: 0.000 eV per atom
Magnetization: 0.00 Bohr magnetons per cell
SG: No. 127


No. 4
This record from Alexandria describes a relaxed LiSm2Ga3Pt4 crystal. The functional is PBE-GGA.

Lattice parameters (Å, degrees): 4.0821 4.0821 11.3279 90.00 90.00 90.00
Closest atoms and distances in Å follow each position.
Fractional coordinates of all 10 atoms:
Li (0.5000, 0.5000, 0.5000)  4 Pt 2.62, 4 Ga 2.89
Sm (0.5000, 0.0000, 0.2518)  4 Pt 3.11, 6 Ga 3.19-3.47, 2 Li 3.47
Sm (0.0000, 0.5000, 0.7482)  4 Pt 3.11, 6 Ga 3.19-3.47, 2 Li 3.47
Ga (0.0000, 0.0000, 0.5000)  4 Pt 2.62, 4 Li 2.89
Ga (0.5000, 0.0000, 0.8674)  5 Pt 2.51-2.53
Ga (0.0000, 0.5000, 0.1326)  5 Pt 2.51-2.53
Pt (0.5000, 0.5000, 0.0000)  4 Ga 2.53
Pt (0.0000, 0.0000, 0.0000)  4 Ga 2.53
Pt (0.5000, 0.0000, 0.6455)  3 Ga 2.51-2.62, 2 Li 2.62
Pt (0.0000, 0.5000, 0.3545)  3 Ga 2.51-2.62, 2 Li 2.62

Summary:
Formation energy: -0.93 eV/atom
Magnetization: 0.00 Bohr magnetons per cell
SG: No. 115


No. 5
This record from Alexandria describes a relaxed AcScUS6 crystal. The functional is PBE-GGA.

Lattice parameters (Å, degrees): 6.6478 6.6478 12.7873 90.00 90.00 120.00
Closest atoms and distances in Å follow each position.
Fractional coordinates of all 18 atoms:
Ac (0.0000, 0.0000, 0.0000)  6 S 3.00
Ac (0.0000, 0.0000, 0.5000)  6 S 3.00
Sc (0.3333, 0.6667, 0.2500)  6 S 2.58
Sc (0.6667, 0.3333, 0.7500)  6 S 2.58
U (0.6667, 0.3333, 0.2500)  6 S 2.56
U (0.3333, 0.6667, 0.7500)  6 S 2.56
S (0.6317, 0.6288, 0.1350)  1 U 2.56, 1 Sc 2.58
S (0.9971, 0.3683, 0.1350)  1 U 2.56, 1 Sc 2.58
S (0.3683, 0.9971, 0.6350)  1 U 2.56, 1 Sc 2.58
S (0.0029, 0.6317, 0.8650)  1 U 2.56, 1 Sc 2.58
S (0.3712, 0.3683, 0.3650)  1 U 2.56, 1 Sc 2.58
S (0.9971, 0.6288, 0.3650)  1 U 2.56, 1 Sc 2.58
S (0.6288, 0.9971, 0.8650)  1 U 2.56, 1 Sc 2.58
S (0.6317, 0.0029, 0.3650)  1 U 2.56, 1 Sc 2.58
S (0.0029, 0.3712, 0.6350)  1 U 2.56, 1 Sc 2.58
S (0.3712, 0.0029, 0.1350)  1 U 2.56, 1 Sc 2.58
S (0.6288, 0.6317, 0.6350)  1 U 2.56, 1 Sc 2.58
S (0.3683, 0.3712, 0.8650)  1 U 2.56, 1 Sc 2.58

Summary:
Energy relative to the elements, uncorrected: -1.598 eV per atom
Magnetization: 0.00 Bohr magnetons per cell
SG: No. 163


No. 6
This record from Alexandria describes a relaxed CaPmHo2Se4 crystal. The functional is PBE-GGA.

Lattice parameters (Å, degrees): 4.0988 7.1384 7.1646 70.92 90.00 90.00
Closest atoms and distances in Å follow each position.
Fractional coordinates of all 8 atoms:
Ca (0.0000, 0.5000, 0.5000)  6 Se 2.93-2.94
Pm (0.5000, 0.5000, 0.0000)  6 Se 2.96-2.97
Ho (0.0000, 0.0000, 0.0000)  6 Se 2.89-2.90
Ho (0.5000, 0.0000, 0.5000)  6 Se 2.86-2.87
Se (0.0000, 0.7595, 0.7427)  3 Ho 2.87-2.90, 1 Ca 2.93, 2 Pm 2.97
Se (0.0000, 0.2405, 0.2573)  3 Ho 2.87-2.90, 1 Ca 2.93, 2 Pm 2.97
Se (0.5000, 0.7580, 0.2505)  3 Ho 2.86-2.89, 2 Ca 2.94, 1 Pm 2.96
Se (0.5000, 0.2420, 0.7495)  3 Ho 2.86-2.89, 2 Ca 2.94, 1 Pm 2.96

Summary:
Energy relative to the elements, uncorrected: -1.817 eV per atom
Magnetization: 0.00 Bohr magnetons per cell
SG: No. 10


No. 7
This record from Alexandria describes a relaxed InCu2Sn crystal. The functional is PBE-GGA.

Lattice parameters (Å, degrees): 3.3181 3.3181 6.7394 90.00 90.00 90.00
Closest atoms and distances in Å follow each position.
Fractional coordinates of all 4 atoms:
Sn (0.5000, 0.5000, 0.5000)  8 Cu 2.92
Cu (0.0000, 0.0000, 0.7572)  4 In 2.86, 4 Sn 2.92
Cu (0.0000, 0.0000, 0.2428)  4 In 2.86, 4 Sn 2.92
In (0.5000, 0.5000, 0.0000)  8 Cu 2.86

Summary:
Formation energy: 0.17 eV/atom
Magnetization: 0.00 Bohr magnetons per cell
SG: No. 123


No. 8
This record from Alexandria describes a relaxed Tc2MoN crystal. The functional is PBE-GGA.

Lattice parameters (Å, degrees): 5.3208 5.3208 5.8357 62.88 62.88 90.00
Closest atoms and distances in Å follow each position.
Fractional coordinates of all 8 atoms:
Mo (0.0000, 0.0000, 0.0000)  4 Tc 2.50
Mo (0.7500, 0.2500, 0.5000)  4 Tc 2.50
Tc (0.5379, 0.1250, 0.2500)  2 N 1.94
Tc (0.2121, 0.6250, 0.2500)  2 N 1.94
Tc (0.3750, 0.4621, 0.7500)  2 N 1.94
Tc (0.8750, 0.7879, 0.7500)  2 N 1.94
N (0.5000, 0.5000, 0.0000)  4 Tc 1.94
N (0.2500, 0.7500, 0.5000)  4 Tc 1.94

Summary:
Energy relative to the elements, uncorrected: 0.481 eV per atom
Magnetization: 0.00 Bohr magnetons per cell
SG: No. 122


No. 9
This record from Alexandria describes a relaxed AlZnGa crystal. The functional is PBE-GGA.

Lattice parameters (Å, degrees): 5.6880 4.0521 8.6764 90.00 90.00 90.00
Closest atoms and distances in Å follow each position.
Fractional coordinates of all 12 atoms:
Zn (0.8774, 0.2500, 0.7450)  5 Ga 2.83-2.96, 5 Al 2.84-2.88, 2 Zn 2.85
Zn (0.6226, 0.7500, 0.2450)  5 Ga 2.83-2.96, 5 Al 2.84-2.88, 2 Zn 2.85
Zn (0.1226, 0.7500, 0.2550)  5 Ga 2.83-2.96, 5 Al 2.84-2.88, 2 Zn 2.85
Zn (0.3774, 0.2500, 0.7550)  5 Ga 2.83-2.96, 5 Al 2.84-2.88, 2 Zn 2.85
Al (0.8724, 0.2500, 0.4152)  5 Zn 2.84-2.88, 5 Ga 2.84-2.87, 2 Al 2.89
Al (0.6276, 0.7500, 0.9152)  5 Zn 2.84-2.88, 5 Ga 2.84-2.87, 2 Al 2.89
Al (0.1276, 0.7500, 0.5848)  5 Zn 2.84-2.88, 5 Ga 2.84-2.87, 2 Al 2.89
Al (0.3724, 0.2500, 0.0848)  5 Zn 2.84-2.88, 5 Ga 2.84-2.87, 2 Al 2.89
Ga (0.3724, 0.2500, 0.4133)  5 Zn 2.83-2.96, 5 Al 2.84-2.87, 2 Ga 2.91
Ga (0.1276, 0.7500, 0.9133)  5 Zn 2.83-2.96, 5 Al 2.84-2.87, 2 Ga 2.91
Ga (0.6276, 0.7500, 0.5867)  5 Zn 2.83-2.96, 5 Al 2.84-2.87, 2 Ga 2.91
Ga (0.8724, 0.2500, 0.0867)  5 Zn 2.83-2.96, 5 Al 2.84-2.87, 2 Ga 2.91

Summary:
Formation energy: 0.04 eV/atom
Magnetization: 0.00 Bohr magnetons per cell
SG: No. 62


Number 1: volume 252.51 Å³ per cell. Number 2: volume 159.74 Å³ per cell. Number 3: volume 250.12 Å³ per cell. Number 4: volume 188.76 Å³ per cell. Number 5: volume 489.40 Å³ per cell. Number 6: volume 198.11 Å³ per cell. Number 7: volume 74.20 Å³ per cell. Number 8: volume 126.29 Å³ per cell. Number 9: volume 199.98 Å³ per cell.